InCoSb2 | meta-GGA SCAN | single point on PBEsol structure

Properties
* ΔE_f (raw): 132 meV/atom

Cell: 6.6946 6.6946 6.6946 Å, 152.70 141.58 47.77°
Fractional positions:
In (0.0000, 0.0000, 0.0000)
Co (0.5000, 0.5000, 0.0000)
Sb (0.3294, 0.8294, 0.5000)
Sb (0.6706, 0.1706, 0.5000)



LiSi6Bi9O26 | meta-GGA SCAN | single point on PBEsol structure

Properties
* energy relative to the lowest polymorph listed for this composition: 0.00 eV/f.u.
* ΔE_f (raw): -2024 meV/atom

Cell: 9.5867 9.5867 13.9600 Å, 90.00 90.00 120.00°
Fractional positions:
Li (0.3333, 0.6667, 0.2492)
Li (0.6667, 0.3333, 0.7508)
Si (0.0223, 0.3997, 0.8722)
Si (0.0309, 0.4058, 0.3703)
Si (0.3748, 0.9691, 0.3703)
Si (0.3774, 0.9777, 0.8722)
Si (0.3997, 0.3774, 0.1278)
Si (0.4058, 0.3748, 0.6297)
Si (0.5942, 0.6252, 0.3703)
Si (0.6003, 0.6226, 0.8722)
Si (0.6226, 0.0223, 0.1278)
Si (0.6252, 0.0309, 0.6297)
Si (0.9691, 0.5942, 0.6297)
Si (0.9777, 0.6003, 0.1278)
Bi (0.0087, 0.7686, 0.8737)
Bi (0.0101, 0.7694, 0.3731)
Bi (0.2314, 0.2402, 0.8737)
Bi (0.2306, 0.2407, 0.3731)
Bi (0.2402, 0.0087, 0.1263)
Bi (0.2407, 0.0101, 0.6269)
Bi (0.3333, 0.6667, 0.0180)
Bi (0.3333, 0.6667, 0.4841)
Bi (0.3333, 0.6667, 0.7417)
Bi (0.6667, 0.3333, 0.2583)
Bi (0.6667, 0.3333, 0.5159)
Bi (0.6667, 0.3333, 0.9820)
Bi (0.7593, 0.9899, 0.3731)
Bi (0.7598, 0.9913, 0.8737)
Bi (0.7694, 0.7593, 0.6269)
Bi (0.7686, 0.7598, 0.1263)
Bi (0.9899, 0.2306, 0.6269)
Bi (0.9913, 0.2314, 0.1263)
O (0.0000, 0.0000, 0.1241)
O (0.0000, 0.0000, 0.3835)
O (0.0000, 0.0000, 0.6165)
O (0.0000, 0.0000, 0.8759)
O (0.0674, 0.3045, 0.2879)
O (0.0830, 0.3280, 0.7835)
O (0.0946, 0.3510, 0.9659)
O (0.1059, 0.3635, 0.4661)
O (0.1195, 0.5964, 0.8624)
O (0.1363, 0.6017, 0.3573)
O (0.1609, 0.6577, 0.6224)
O (0.1723, 0.6792, 0.1275)
O (0.2371, 0.9326, 0.2879)
O (0.2451, 0.9170, 0.7835)
O (0.2564, 0.9054, 0.9659)
O (0.2576, 0.8941, 0.4661)
O (0.3045, 0.2371, 0.7121)
O (0.3208, 0.4931, 0.1275)
O (0.3280, 0.2451, 0.2165)
O (0.3423, 0.5032, 0.6224)
O (0.3510, 0.2564, 0.0341)
O (0.3635, 0.2576, 0.5339)
O (0.3983, 0.5346, 0.3573)
O (0.4036, 0.5231, 0.8624)
O (0.4654, 0.8637, 0.3573)
O (0.4769, 0.8805, 0.8624)
O (0.4931, 0.1723, 0.8725)
O (0.4968, 0.8391, 0.6224)
O (0.5032, 0.1609, 0.3776)
O (0.5069, 0.8277, 0.1275)
O (0.5231, 0.1195, 0.1376)
O (0.5346, 0.1363, 0.6427)
O (0.5964, 0.4769, 0.1376)
O (0.6017, 0.4654, 0.6427)
O (0.6365, 0.7424, 0.4661)
O (0.6490, 0.7436, 0.9659)
O (0.6577, 0.4968, 0.3776)
O (0.6720, 0.7549, 0.7835)
O (0.6792, 0.5069, 0.8725)
O (0.6955, 0.7629, 0.2879)
O (0.7424, 0.1059, 0.5339)
O (0.7436, 0.0946, 0.0341)
O (0.7549, 0.0830, 0.2165)
O (0.7629, 0.0674, 0.7121)
O (0.8277, 0.3208, 0.8725)
O (0.8391, 0.3423, 0.3776)
O (0.8637, 0.3983, 0.6427)
O (0.8805, 0.4036, 0.1376)
O (0.8941, 0.6365, 0.5339)
O (0.9054, 0.6490, 0.0341)
O (0.9170, 0.6720, 0.2165)
O (0.9326, 0.6955, 0.7121)



ZnS | meta-GGA SCAN | single point on PBEsol structure

Properties
* ΔE_f (raw): -942 meV/atom

Cell: 3.7867 3.7867 3.7867 Å, 60.00 60.00 60.00°
Fractional positions:
Zn (0.0000, 0.0000, 0.0000)
S (0.7500, 0.7500, 0.7500)



CoRe2Mo | meta-GGA SCAN | single point on PBEsol structure

Properties
* energy relative to the lowest polymorph listed for this composition: 0.12 eV/f.u.
* formation energy from the elements: 0.515 eV per formula unit

Cell: 4.6270 4.6270 4.6270 Å, 131.37 131.37 71.23°
Fractional positions:
Co (0.0000, 0.0000, 0.0000)
Re (0.5000, 0.5000, 0.0000)
Re (0.7500, 0.2500, 0.5000)
Mo (0.2500, 0.7500, 0.5000)



RbYCu2 | meta-GGA SCAN | single point on PBEsol structure

Properties
* formation energy from the elements: 2.202 eV per formula unit

Cell: 5.0745 5.0745 5.0745 Å, 60.00 60.00 60.00°
Fractional positions:
Rb (0.0000, 0.0000, 0.0000)
Y (0.5000, 0.5000, 0.5000)
Cu (0.2500, 0.2500, 0.2500)
Cu (0.7500, 0.7500, 0.7500)



NbOsS2N | meta-GGA SCAN | single point on PBEsol structure

Properties
* ΔE_f (raw): 985 meV/atom

Cell: 4.8160 4.8160 3.8072 Å, 90.00 90.00 90.00°
Fractional positions:
Nb (0.0000, 0.0000, 0.0000)
Os (0.5000, 0.5000, 0.5000)
S (0.0000, 0.5000, 0.0000)
S (0.5000, 0.0000, 0.0000)
N (0.0000, 0.0000, 0.5000)



Values of DOS at the Fermi energy, in order: 0.460, 0.000, 0.000, 0.826, 0.786, 0.525, all in states/eV/atom.